# Nb2TlIr PBE relaxed
data_Nb2TlIr
_chemical_formula_sum 'Nb8 Tl4 Ir4'
_cell_length_a 6.616
_cell_length_b 6.616
_cell_length_c 6.616
_cell_angle_alpha 90.00
_cell_angle_beta 90.00
_cell_angle_gamma 90.00
_space_group_name_H-M_alt 'F -4 3 m'
_space_group_IT_number 216
_space_group_name_Hall 'F -4 2 3'
loop_
_atom_site_label
_atom_site_type_symbol
_atom_site_fract_x
_atom_site_fract_y
_atom_site_fract_z
Nb1 Nb 0.000 0.000 0.000
Nb2 Nb 0.250 0.250 0.250
Tl1 Tl 0.000 0.000 0.500
Ir1 Ir 0.250 0.250 0.750
# - energy (eV per atom) = -7.59